Entry from the Alexandria database: a geometry-optimized LaZrSi2Pd structure (PBE).

Computed properties:
As for the total moment: 0.000 μB/f.u. The value obtained for the total energy is -26.15 eV/f.u.

```
LaZrSi2Pd
1.0
5.031 0.000 0.000
0.000 5.031 0.000
0.000 0.000 5.504
La Zr Si Pd
1 1 2 1
Cartesian
0.000 0.000 0.000 La
0.000 0.000 2.752 Zr
0.000 2.515 2.752 Si
2.515 0.000 2.752 Si
2.515 2.515 0.000 Pd
```